No. 1
## PmHo2Hf (PBE-GGA)

Data for PmHo2Hf after structural relaxation.

The structure belongs to space group P4/mmm (No. 123); the cell edges are 4.852, 4.852 and 4.887 Å and the angles 90.00°, 90.00° and 90.00°. The distinct sites, in fractional coordinates, are Pm at (0.000, 0.000, 0.000), Ho at (0.000, 0.500, 0.500) and Hf at (0.500, 0.500, 0.000).

As for the density of states at the Fermi level: 1.32 states/eV per atom. The energy above the most stable polymorph in this dataset comes out at 42 meV/atom. As for the crystal system: tetragonal. The calculation puts the energy of formation from the pure elements at 0.154 eV per atom. The calculation puts the raw total energy at -5.81 eV/atom.



No. 2
## BaSnBi (PBE-GGA)

Data for BaSnBi after structural relaxation.

The structure belongs to space group I4mm (No. 107); the cell edges are 4.229, 4.229 and 12.201 Å and the angles 90.00°, 90.00° and 90.00°. The distinct sites, in fractional coordinates, are Ba at (0.000, 0.000, 0.000), Sn at (0.000, 0.000, 0.700) and Bi at (0.000, 0.000, 0.298).

As for the density of states at the Fermi level: 0.66 states/eV per atom. The energy above the most stable polymorph in this dataset comes out at 113 meV/atom. As for the crystal system: tetragonal. The calculation puts the energy of formation from the pure elements at -0.473 eV per atom. The calculation puts the raw total energy at -3.74 eV/atom.



No. 3
## LaTl2IrW (PBE-GGA)

Data for LaTl2IrW after structural relaxation.

The structure belongs to space group P4/mmm (No. 123); the cell edges are 5.309, 5.309 and 5.345 Å and the angles 90.00°, 90.00° and 90.00°. The distinct sites, in fractional coordinates, are La at (0.000, 0.000, 0.000), Tl at (0.000, 0.500, 0.500), Ir at (0.500, 0.500, 0.000) and W at (0.000, 0.000, 0.500).

As for the density of states at the Fermi level: 1.45 states/eV per atom. As for the crystal system: tetragonal. The calculation puts the energy of formation from the pure elements at 1.300 eV per atom. The calculation puts the raw total energy at -5.00 eV/atom.



No. 4
## LaGeAu (PBE-GGA)

Data for LaGeAu after structural relaxation.

The structure belongs to space group P1 (No. 1); the cell edges are 4.589, 5.865 and 6.278 Å and the angles 79.49°, 89.94° and 66.99°. The distinct sites, in fractional coordinates, are La at (0.000, 0.000, 0.000), La at (0.230, 0.540, 0.556), Ge at (0.719, 0.563, 0.170), Ge at (0.930, 0.141, 0.472), Au at (0.306, 0.388, 0.054) and Au at (0.531, 0.939, 0.650).

As for the density of states at the Fermi level: 0.60 states/eV per atom. As for the crystal system: triclinic. The calculation puts the energy of formation from the pure elements at -0.616 eV per atom. The calculation puts the raw total energy at -4.89 eV/atom.



> Which of these has the lowest raw total energy?

PmHo2Hf



> Among the records above, which one has the highest energy of formation from the pure elements?

LaTl2IrW



> What is the formula in the first record?

PmHo2Hf



Repeat the first record exactly.
## PmHo2Hf (PBE-GGA)

Data for PmHo2Hf after structural relaxation.

The structure belongs to space group P4/mmm (No. 123); the cell edges are 4.852, 4.852 and 4.887 Å and the angles 90.00°, 90.00° and 90.00°. The distinct sites, in fractional coordinates, are Pm at (0.000, 0.000, 0.000), Ho at (0.000, 0.500, 0.500) and Hf at (0.500, 0.500, 0.000).

As for the density of states at the Fermi level: 1.32 states/eV per atom. The energy above the most stable polymorph in this dataset comes out at 42 meV/atom. As for the crystal system: tetragonal. The calculation puts the energy of formation from the pure elements at 0.154 eV per atom. The calculation puts the raw total energy at -5.81 eV/atom.